(1)
# GdMgGa, single point on PBEsol structure, DFT meta-GGA SCAN
data_GdMgGa
_cell_length_a 7.2494
_cell_length_b 7.2494
_cell_length_c 4.4155
_cell_angle_alpha 90.00
_cell_angle_beta 90.00
_cell_angle_gamma 120.00
_symmetry_space_group_name_H-M 'P -6 2 m'
_symmetry_Int_Tables_number 189
_symmetry_space_group_name_Hall 'P -6 -2'
loop_
_atom_site_label
_atom_site_type_symbol
_atom_site_fract_x
_atom_site_fract_y
_atom_site_fract_z
Gd1 Gd 0.0000 0.4253 0.0000
Mg1 Mg 0.0000 0.7560 0.5000
Ga1 Ga 0.0000 0.0000 0.0000
Ga2 Ga 0.3333 0.6667 0.5000
# total moment = 2.367 μB per atom
# crystal system = hexagonal
# Fermi-level density of states = 2.76 states/eV per cell
# E_tot = -245.1 eV per cell

(2)
# Gd2MnGa6, single point on PBEsol structure, DFT meta-GGA SCAN
data_Gd2MnGa6
_cell_length_a 8.6328
_cell_length_b 8.6328
_cell_length_c 8.6328
_cell_angle_alpha 90.00
_cell_angle_beta 90.00
_cell_angle_gamma 90.00
_symmetry_space_group_name_H-M 'F m -3 m'
_symmetry_Int_Tables_number 225
_symmetry_space_group_name_Hall '-F 4 2 3'
loop_
_atom_site_label
_atom_site_type_symbol
_atom_site_fract_x
_atom_site_fract_y
_atom_site_fract_z
Gd1 Gd 0.2500 0.2500 0.2500
Mn1 Mn 0.0000 0.0000 0.0000
Ga1 Ga 0.0000 0.0000 0.2805
# total moment = 1.851 μB per atom
# crystal system = cubic
# Fermi-level density of states = 9.03 states/eV per cell
# E_tot = -958.3 eV per cell

(3)
# Gd3GaO6, single point on PBEsol structure, DFT meta-GGA SCAN
data_Gd3GaO6
_cell_length_a 8.9312
_cell_length_b 11.1973
_cell_length_c 5.4466
_cell_angle_alpha 90.00
_cell_angle_beta 90.00
_cell_angle_gamma 90.00
_symmetry_space_group_name_H-M 'C m c 21'
_symmetry_Int_Tables_number 36
_symmetry_space_group_name_Hall 'C 2c -2'
loop_
_atom_site_label
_atom_site_type_symbol
_atom_site_fract_x
_atom_site_fract_y
_atom_site_fract_z
Gd1 Gd 0.0000 0.1033 0.0000
Gd2 Gd 0.1927 0.3945 0.0460
Ga1 Ga 0.0000 0.3077 0.5782
O1 O 0.0000 0.2841 0.2438
O2 O 0.0000 0.4610 0.7176
O3 O 0.1576 0.2374 0.7532
O4 O 0.1598 0.0150 0.2739
# total moment = 2.100 μB per atom
# crystal system = orthorhombic
# Fermi-level density of states = 0.00 states/eV per cell
# formation energy without anion corrections = -3347 meV per atom

(4)
# GdGa3Os, single point on PBEsol structure, DFT meta-GGA SCAN
data_GdGa3Os
_cell_length_a 6.3695
_cell_length_b 6.3695
_cell_length_c 6.3695
_cell_angle_alpha 90.00
_cell_angle_beta 90.00
_cell_angle_gamma 90.00
_symmetry_space_group_name_H-M 'P m -3 m'
_symmetry_Int_Tables_number 221
_symmetry_space_group_name_Hall '-P 4 2 3'
loop_
_atom_site_label
_atom_site_type_symbol
_atom_site_fract_x
_atom_site_fract_y
_atom_site_fract_z
Gd1 Gd 0.0000 0.0000 0.5000
Ga1 Ga 0.0000 0.0000 0.0000
Ga2 Ga 0.2901 0.2901 0.2901
Os1 Os 0.0000 0.5000 0.5000
# total moment = 1.391 μB per atom
# crystal system = cubic
# Fermi-level density of states = 6.08 states/eV per cell
# E_tot = -547.8 eV per cell

(5)
# GdGaPd2, single point on PBEsol structure, DFT meta-GGA SCAN
data_GdGaPd2
_cell_length_a 7.3184
_cell_length_b 7.0427
_cell_length_c 5.5614
_cell_angle_alpha 90.00
_cell_angle_beta 90.00
_cell_angle_gamma 90.00
_symmetry_space_group_name_H-M 'P n m a'
_symmetry_Int_Tables_number 62
_symmetry_space_group_name_Hall '-P 2ac 2n'
loop_
_atom_site_label
_atom_site_type_symbol
_atom_site_fract_x
_atom_site_fract_y
_atom_site_fract_z
Gd1 Gd 0.0300 0.2500 0.1433
Ga1 Ga 0.1159 0.7500 0.3555
Pd1 Pd 0.1815 0.0517 0.5885
# total moment = 1.844 μB per atom
# crystal system = orthorhombic
# Fermi-level density of states = 7.45 states/eV per cell
# E_tot = -577.6 eV per cell

(6)
# GdGaRh2, single point on PBEsol structure, DFT meta-GGA SCAN
data_GdGaRh2
_cell_length_a 6.3870
_cell_length_b 6.3870
_cell_length_c 6.3870
_cell_angle_alpha 90.00
_cell_angle_beta 90.00
_cell_angle_gamma 90.00
_symmetry_space_group_name_H-M 'F m -3 m'
_symmetry_Int_Tables_number 225
_symmetry_space_group_name_Hall '-F 4 2 3'
loop_
_atom_site_label
_atom_site_type_symbol
_atom_site_fract_x
_atom_site_fract_y
_atom_site_fract_z
Gd1 Gd 0.0000 0.0000 0.0000
Ga1 Ga 0.0000 0.0000 0.5000
Rh1 Rh 0.2500 0.2500 0.2500
# total moment = 1.775 μB per atom
# crystal system = cubic
# Fermi-level density of states = 2.63 states/eV per cell
# E_tot = -583.3 eV per cell

(7)
# GdGa3Ru, single point on PBEsol structure, DFT meta-GGA SCAN
data_GdGa3Ru
_cell_length_a 6.3588
_cell_length_b 6.3588
_cell_length_c 6.3588
_cell_angle_alpha 90.00
_cell_angle_beta 90.00
_cell_angle_gamma 90.00
_symmetry_space_group_name_H-M 'P m -3 m'
_symmetry_Int_Tables_number 221
_symmetry_space_group_name_Hall '-P 4 2 3'
loop_
_atom_site_label
_atom_site_type_symbol
_atom_site_fract_x
_atom_site_fract_y
_atom_site_fract_z
Gd1 Gd 0.0000 0.0000 0.5000
Ga1 Ga 0.0000 0.0000 0.0000
Ga2 Ga 0.2905 0.2905 0.2905
Ru1 Ru 0.0000 0.5000 0.5000
# total moment = 1.403 μB per atom
# crystal system = cubic
# Fermi-level density of states = 6.76 states/eV per cell
# E_tot = -437.8 eV per cell

(8)
# Gd2ZnGa, single point on PBEsol structure, DFT meta-GGA SCAN
data_Gd2ZnGa
_cell_length_a 7.0855
_cell_length_b 7.0855
_cell_length_c 7.0855
_cell_angle_alpha 90.00
_cell_angle_beta 90.00
_cell_angle_gamma 90.00
_symmetry_space_group_name_H-M 'F m -3 m'
_symmetry_Int_Tables_number 225
_symmetry_space_group_name_Hall '-F 4 2 3'
loop_
_atom_site_label
_atom_site_type_symbol
_atom_site_fract_x
_atom_site_fract_y
_atom_site_fract_z
Gd1 Gd 0.2500 0.2500 0.2500
Zn1 Zn 0.0000 0.0000 0.0000
Ga1 Ga 0.0000 0.0000 0.5000
# total moment = 3.775 μB per atom
# crystal system = cubic
# Fermi-level density of states = 4.93 states/eV per cell
# E_tot = -598.4 eV per cell